[1]
{"formula": "SrRe2Se", "functional": "PBE-GGA", "state": "optimized geometry", "lattice": [[4.200, 0.000, 0.000], [0.000, 3.269, -0.209], [0.000, 0.526, 6.170]], "species": ["Se", "Re", "Re", "Sr"], "frac_coords": [[0.000, 0.387, 0.458], [0.500, 0.341, 0.174], [0.000, 0.901, 0.145], [0.500, 0.871, 0.723]], "e_form_raw_ev_per_fu": 1.08}

---

[2]
{"formula": "SrRe2Se", "functional": "PBE-GGA", "state": "optimized geometry", "lattice": [[-1.938, -1.104, 2.148], [2.398, -1.206, 1.544], [0.744, 6.838, 4.185]], "species": ["Se", "Re", "Re", "Sr"], "frac_coords": [[0.500, 0.500, 0.250], [0.000, 0.000, 0.430], [0.000, 0.000, 0.070], [0.500, 0.500, 0.750]], "e_form_raw_ev_per_fu": 3.96}

---

[3]
{"formula": "Sr2ReSe", "functional": "PBE-GGA", "state": "optimized geometry", "lattice": [[-1.168, -0.312, 3.511], [3.524, -0.124, 1.162], [0.041, 7.833, 0.711]], "species": ["Sr", "Sr", "Re", "Se"], "frac_coords": [[0.000, 0.000, 0.985], [0.000, 0.000, 0.515], [0.500, 0.500, 0.250], [0.500, 0.500, 0.750]], "e_form_raw_ev_per_fu": 0.25}

---

[4]
{"formula": "Sr2ReSe", "functional": "PBE-GGA", "state": "optimized geometry", "lattice": [[6.584, -0.003, 0.000], [3.587, 5.522, 0.000], [-5.085, -2.760, 3.143]], "species": ["Sr", "Sr", "Se", "Re"], "frac_coords": [[0.000, 0.000, 0.000], [0.250, 0.750, 0.500], [0.750, 0.250, 0.500], [0.500, 0.500, 0.000]], "e_form_raw_ev_per_fu": 1.34}

---

[5]
{"formula": "Sr2ReSe", "functional": "PBE-GGA", "state": "optimized geometry", "lattice": [[4.454, 0.000, 0.000], [0.000, 4.458, 0.000], [0.000, 0.000, 6.402]], "species": ["Sr", "Sr", "Re", "Se"], "frac_coords": [[0.500, 0.500, 0.355], [0.000, 0.000, 0.892], [0.000, 0.000, 0.395], [0.500, 0.500, 0.858]], "e_form_raw_ev_per_fu": 1.05}

---

[6]
{"formula": "Sr2ReSe", "functional": "PBE-GGA", "state": "optimized geometry", "lattice": [[8.198, 0.000, 0.000], [0.000, 8.198, 0.000], [4.099, 4.099, 3.885]], "species": ["Sr", "Sr", "Sr", "Sr", "Se", "Se", "Re", "Re"], "frac_coords": [[0.138, 0.625, 0.250], [0.375, 0.388, 0.750], [0.875, 0.862, 0.750], [0.612, 0.125, 0.250], [0.500, 0.500, 0.000], [0.250, 0.750, 0.500], [0.750, 0.250, 0.500], [0.000, 0.000, 0.000]], "e_form_raw_ev_per_fu": 1.75}

---

[7]
{"formula": "Sr2ReSe", "functional": "PBE-GGA", "state": "optimized geometry", "lattice": [[4.211, -0.033, 0.025], [2.146, 3.624, 0.025], [2.053, 1.160, 8.105]], "species": ["Sr", "Sr", "Re", "Se"], "frac_coords": [[0.006, 0.006, 0.984], [0.494, 0.494, 0.516], [0.250, 0.250, 0.250], [0.750, 0.750, 0.750]], "e_form_raw_ev_per_fu": 0.73}

---

[8]
{"formula": "Sr2ReTeSe", "functional": "PBE-GGA", "state": "optimized geometry", "lattice": [[5.992, 0.000, 0.000], [0.000, 4.577, 0.000], [0.000, 0.000, 5.992]], "species": ["Te", "Sr", "Sr", "Re", "Se"], "frac_coords": [[0.500, 0.500, 0.500], [0.000, 0.000, 0.500], [0.500, 0.000, 0.000], [0.000, 0.500, 0.000], [0.000, 0.000, 0.000]], "e_form_raw_ev_per_fu": -1.28}

---

[9]
{"formula": "Sr2TlReSe", "functional": "PBE-GGA", "state": "optimized geometry", "lattice": [[5.727, 0.000, 0.000], [0.000, 5.910, 0.000], [0.000, 0.000, 5.727]], "species": ["Tl", "Se", "Re", "Sr", "Sr"], "frac_coords": [[0.000, 0.500, 0.000], [0.000, 0.000, 0.000], [0.500, 0.500, 0.500], [0.000, 0.000, 0.500], [0.500, 0.000, 0.000]], "e_form_raw_ev_per_fu": 3.21}

---

[10]
{"formula": "Sr2VReSe", "functional": "PBE-GGA", "state": "optimized geometry", "lattice": [[5.825, 0.000, 0.000], [0.000, 4.611, 0.000], [0.000, 0.000, 5.825]], "species": ["Se", "Sr", "Sr", "V", "Re"], "frac_coords": [[0.000, 0.000, 0.000], [0.500, 0.000, 0.000], [0.000, 0.000, 0.500], [0.500, 0.500, 0.500], [0.000, 0.500, 0.000]], "e_form_raw_ev_per_fu": 3.31}

---

[11]
{"formula": "SrYRe2Se", "functional": "PBE-GGA", "state": "optimized geometry", "lattice": [[-0.214, -3.975, -3.198], [3.508, -2.817, 3.266], [-3.955, -1.893, 2.617]], "species": ["Y", "Re", "Re", "Sr", "Se"], "frac_coords": [[0.000, 0.000, 0.000], [0.500, 0.000, 0.000], [0.000, 0.000, 0.500], [0.500, 0.500, 0.500], [0.000, 0.500, 0.000]], "e_form_raw_ev_per_fu": 7.16}

---

[12]
{"formula": "Ta2ReSe", "functional": "PBE-GGA", "state": "optimized geometry", "lattice": [[-1.657, -1.779, 2.129], [0.049, -3.711, -3.062], [3.727, -1.388, 1.741]], "species": ["Re", "Ta", "Ta", "Se"], "frac_coords": [[0.500, 0.000, 0.500], [0.500, 0.500, 0.000], [0.000, 0.000, 0.000], [0.000, 0.500, 0.500]], "e_form_raw_ev_per_fu": 0.76}